# 1
Here is Li2ZrSnCl8 after structural relaxation from Alexandria via LeMat-Bulk. Energies are from GGA-PBE.

Computed properties:
For the density of states at the Fermi level, the calculation gives 0.000 states/eV per atom. As for the energy relative to the elements, uncorrected: -36.5 kcal/mol of atoms.

Unit cell a=6.5654 b=6.8579 c=8.2635 alpha=71.98 beta=91.05 gamma=101.28
Positions (direct):
Li (0.5377, 0.3541, 0.6828)
Li (0.4623, 0.6459, 0.3172)
Zr (0.0000, 0.0000, 0.0000)
Sn (0.0000, 0.0000, 0.5000)
Cl (0.1269, 0.7793, 0.2762)
Cl (0.6607, 0.7558, 0.0536)
Cl (0.8768, 0.2055, 0.1657)
Cl (0.8731, 0.2207, 0.7238)
Cl (0.3393, 0.2442, 0.9464)
Cl (0.1232, 0.7945, 0.8343)
Cl (0.6172, 0.7239, 0.5558)
Cl (0.3828, 0.2761, 0.4442)


# 2
Here is SrLiCl4 after structural relaxation from Alexandria via LeMat-Bulk. Energies are from GGA-PBE.

Computed properties:
For the density of states at the Fermi level, the calculation gives 0.701 states/eV per atom. As for the energy relative to the elements, uncorrected: -18.3 kcal/mol of atoms.

Unit cell a=6.0979 b=6.0979 c=6.0979 alpha=60.00 beta=60.00 gamma=60.00
Positions (direct):
Sr (0.0000, 0.0000, 0.0000)
Li (0.7500, 0.7500, 0.7500)
Cl (0.8751, 0.3750, 0.3750)
Cl (0.3750, 0.3750, 0.8751)
Cl (0.3750, 0.8751, 0.3750)
Cl (0.3750, 0.3750, 0.3750)


# 3
Here is SrLiCl after structural relaxation from Alexandria via LeMat-Bulk. Energies are from GGA-PBE.

Computed properties:
The energy above the most stable polymorph in this dataset comes out at 479 meV/atom. As for the energy relative to the elements, uncorrected: -13.3 kcal/mol of atoms.

Unit cell a=5.3783 b=5.3783 c=5.3783 alpha=60.00 beta=60.00 gamma=60.00
Positions (direct):
Cl (0.0000, 0.0000, 0.0000)
Li (0.5000, 0.5000, 0.5000)
Sr (0.7500, 0.7500, 0.7500)


# 4
Here is SrLi2Cl2 after structural relaxation from Alexandria via LeMat-Bulk. Energies are from GGA-PBE.

Computed properties:
For the density of states at the Fermi level, the calculation gives 0.307 states/eV per atom. As for the energy relative to the elements, uncorrected: -25.7 kcal/mol of atoms.

Unit cell a=3.8059 b=3.8059 c=10.6061 alpha=79.66 beta=79.66 gamma=90.00
Positions (direct):
Sr (0.0000, 0.0000, 0.0000)
Li (0.7500, 0.2500, 0.5000)
Li (0.2500, 0.7500, 0.5000)
Cl (0.4230, 0.4230, 0.1540)
Cl (0.5770, 0.5770, 0.8460)


# 5
Here is SrLiCl after structural relaxation from Alexandria via LeMat-Bulk. Energies are from GGA-PBE.

Computed properties:
For the density of states at the Fermi level, the calculation gives 0.909 states/eV per atom. The energy above the most stable polymorph in this dataset comes out at 678 meV/atom. As for the energy relative to the elements, uncorrected: -8.7 kcal/mol of atoms.

Unit cell a=5.3476 b=5.3476 c=5.3476 alpha=60.00 beta=60.00 gamma=60.00
Positions (direct):
Cl (0.5000, 0.5000, 0.5000)
Li (0.7500, 0.7500, 0.7500)
Sr (0.0000, 0.0000, 0.0000)


# 6
Here is Sr3LiCl7 after structural relaxation from Alexandria via LeMat-Bulk. Energies are from GGA-PBE.

Computed properties:
For the density of states at the Fermi level, the calculation gives 0.000 states/eV per atom. As for the energy relative to the elements, uncorrected: -53.4 kcal/mol of atoms.

Unit cell a=8.4045 b=8.4045 c=9.4506 alpha=90.00 beta=90.00 gamma=107.41
Positions (direct):
Sr (0.4868, 0.4868, 0.5000)
Sr (0.5132, 0.5132, 0.0000)
Sr (0.5549, 0.0013, 0.2519)
Sr (0.4451, 0.9987, 0.7519)
Sr (0.0013, 0.5549, 0.7481)
Sr (0.9987, 0.4451, 0.2481)
Li (0.9664, 0.9664, 0.5000)
Li (0.0336, 0.0336, 0.0000)
Cl (0.6525, 0.8969, 0.5319)
Cl (0.3475, 0.1031, 0.0319)
Cl (0.8969, 0.6525, 0.4681)
Cl (0.1031, 0.3475, 0.9681)
Cl (0.1061, 0.3552, 0.5273)
Cl (0.8939, 0.6448, 0.0273)
Cl (0.3552, 0.1061, 0.4727)
Cl (0.6448, 0.8939, 0.9727)
Cl (0.3640, 0.6360, 0.2500)
Cl (0.6360, 0.3640, 0.7500)
Cl (0.6356, 0.3644, 0.2500)
Cl (0.3644, 0.6356, 0.7500)
Cl (0.9237, 0.0763, 0.2500)
Cl (0.0763, 0.9237, 0.7500)


no.,uncorrected energy (eV for the cell shown)
1,-50.2
2,-15.7
3,-7.2
4,-14.8
5,-6.6
6,-90.7